NiCF2: optimized geometry, PBE+U.

a b c (Å): 3.798 3.798 3.798
angles (deg): 60.00 60.00 60.00
Site moments in Bohr magnetons follow the coordinates.
Sites, in units of the cell vectors:
Ni (0.500, 0.500, 0.500)  -1.17
C (0.000, 0.000, 0.000)  0.61
F (0.250, 0.250, 0.250)  0.01
F (0.750, 0.750, 0.750)  0.01

Output
- SG: Fm-3m (225)
- Polymorph energy (0 for the lowest one): 633.2 meV/atom
- E: -2.71 eV/atom
- Calculated volume: 9.7 A^3/atom
- Crystal system: cubic